DFT (PBEsol) results for an optimized crystal structure of Na2SO3.

Values from the calculation:
As for the uncorrected formation energy: -10.22 eV/f.u. The value obtained for the total energy is -66.31 eV per cell.

a b c (Å): 5.460 5.460 6.090
angles (deg): 90.00 90.00 120.00
Sites, in units of the cell vectors:
1 O 0.381 0.119 0.734
2 Na 0.000 0.000 0.000
3 O 0.881 0.262 0.734
4 O 0.738 0.619 0.734
5 Na 0.000 0.000 0.500
6 O 0.262 0.381 0.266
7 S 0.667 0.333 0.837
8 Na 0.667 0.333 0.338
9 S 0.333 0.667 0.163
10 O 0.619 0.881 0.266
11 O 0.119 0.738 0.266
12 Na 0.333 0.667 0.662

***

DFT (PBEsol) results for an optimized crystal structure of NaSnAsCO7.

Values from the calculation:
As for the uncorrected formation energy: -15.93 eV/f.u. The value obtained for the total energy is -146.17 eV per cell.

a b c (Å): 5.225 6.727 9.203
angles (deg): 90.00 87.49 90.00
Sites, in units of the cell vectors:
1 O 0.199 0.049 0.321
2 As 0.285 0.246 0.424
3 C 0.391 0.752 0.070
4 O 0.857 0.244 0.884
5 O 0.225 0.443 0.316
6 O 0.463 0.735 0.941
7 O 0.775 0.943 0.684
8 O 0.870 0.749 0.409
9 Sn 0.244 0.744 0.336
10 O 0.143 0.744 0.116
11 O 0.605 0.235 0.463
12 O 0.395 0.735 0.537
13 O 0.547 0.773 0.180
14 O 0.130 0.249 0.591
15 Sn 0.756 0.244 0.664
16 As 0.715 0.746 0.576
17 Na 0.130 0.532 0.867
18 O 0.453 0.273 0.820
19 C 0.609 0.252 0.930
20 O 0.537 0.235 0.059
21 O 0.801 0.549 0.679
22 Na 0.870 0.032 0.133